1.
The following is a PBEsol calculation of a geometry-optimized Ni2AgGeTe structure, from Alexandria via LeMat-Bulk.

Summary:
Space group = P4/mmm, No. 123
ΔE_f (raw) = 113 kJ/mol of atoms
VASP energy = -3.65 eV per atom
Magnetization = 0.43 μB/f.u.

Geometry as POSCAR:
```
Ni2AgGeTe
1.0
-0.6621 -2.6032 3.7742
-3.5697 -2.1003 -2.0749
3.1383 -3.4958 -1.8606
Ag Te Ni Ge
1 1 2 1
direct
0.0000 0.0000 0.0000 Ag
0.0000 0.0000 0.5000 Te
0.0000 0.5000 0.0000 Ni
0.5000 0.0000 0.0000 Ni
0.5000 0.5000 0.5000 Ge
```

2.
The following is a PBEsol calculation of a geometry-optimized Ag2GeO3 structure, from Alexandria via LeMat-Bulk.

Summary:
Space group = P2_12_12_1, No. 19
ΔE_f (raw) = -80 kJ/mol of atoms
VASP energy = -5.39 eV per atom
Magnetization = 0.00 μB/f.u.

Geometry as POSCAR:
```
Ag2GeO3
1.0
4.6679 0.0000 0.0000
0.0000 6.8296 0.0000
0.0000 0.0000 10.5133
O Ge Ag
12 4 8
direct
0.3087 0.6391 0.7867 O
0.6913 0.1391 0.7133 O
0.1913 0.3609 0.2867 O
0.1578 0.0932 0.0407 O
0.2725 0.3331 0.5598 O
0.3422 0.9068 0.5407 O
0.8422 0.5932 0.4593 O
0.2275 0.6669 0.0598 O
0.7275 0.8331 0.9402 O
0.6578 0.4068 0.9593 O
0.7725 0.1669 0.4402 O
0.8087 0.8609 0.2133 O
0.9842 0.8713 0.0649 Ge
0.5158 0.1287 0.5649 Ge
0.0158 0.3713 0.4351 Ge
0.4842 0.6287 0.9351 Ge
0.4050 0.1265 0.8739 Ag
0.9050 0.3735 0.1261 Ag
0.4824 0.1067 0.2283 Ag
0.0950 0.8735 0.3739 Ag
0.5176 0.6067 0.2717 Ag
0.9824 0.3933 0.7717 Ag
0.0176 0.8933 0.7283 Ag
0.5950 0.6265 0.6261 Ag
```

3.
The following is a PBEsol calculation of a geometry-optimized AgGeO3 structure, from Alexandria via LeMat-Bulk.

Summary:
Space group = Pmc2_1, No. 26
ΔE_f (raw) = -90 kJ/mol of atoms
VASP energy = -5.73 eV per atom
Magnetization = 0.00 μB/f.u.

Geometry as POSCAR:
```
AgGeO3
1.0
3.1753 0.0000 0.0000
0.0000 5.3959 0.0000
0.0000 0.0000 7.4833
O Ag Ge
6 2 2
direct
0.5000 0.0973 0.7518 O
0.0000 0.7410 0.5598 O
0.0000 0.2606 0.4429 O
0.0000 0.2590 0.0598 O
0.5000 0.9027 0.2518 O
0.0000 0.7394 0.9429 O
0.5000 0.4992 0.0014 Ag
0.5000 0.5008 0.5014 Ag
0.0000 0.9367 0.7519 Ge
0.0000 0.0633 0.2519 Ge
```

4.
The following is a PBEsol calculation of a geometry-optimized Ag3GeO structure, from Alexandria via LeMat-Bulk.

Summary:
Space group = Pm-3m, No. 221
ΔE_f (raw) = 25 kJ/mol of atoms
VASP energy = -3.77 eV per atom
Magnetization = 0.00 μB/f.u.

Geometry as POSCAR:
```
Ag3GeO
1.0
-4.3046 -0.4594 -0.7091
-0.3583 -2.3419 3.6920
-0.7652 3.6808 2.2605
O Ag Ge
1 3 1
direct
0.0000 0.0000 0.0000 O
0.5000 0.0000 0.0000 Ag
0.0000 0.5000 0.0000 Ag
0.0000 0.0000 0.5000 Ag
0.5000 0.5000 0.5000 Ge
```

Q: Which of these has the lowest VASP energy?
A: AgGeO3